A relaxed structure of NpUVRu. Source: Alexandria, functional PBE.

Electronic total energy (eV per cell): -42.54
Formation energy from the elements (eV/f.u.): 0.1

a = 4.561 Å, b = 4.561 Å, c = 4.561 Å
α = 60.00°, β = 60.00°, γ = 60.00°
Positions (direct):
Np: 0.000 0.000 0.000
U: 0.250 0.250 0.250
V: 0.500 0.500 0.500
Ru: 0.750 0.750 0.750

A relaxed structure of NpUZnRu. Source: Alexandria, functional PBE.

Electronic total energy (eV per cell): -35.09
Formation energy from the elements (eV/f.u.): -0.3

a = 4.660 Å, b = 4.660 Å, c = 4.660 Å
α = 60.00°, β = 60.00°, γ = 60.00°
Positions (direct):
Np: 0.000 0.000 0.000
U: 0.750 0.750 0.750
Zn: 0.250 0.250 0.250
Ru: 0.500 0.500 0.500

Q: Which formula does entry 2 have?
A: NpUZnRu